Entry 1:
Material: AcSc2TcO8
Method: DFT, PBE
State: optimized geometry

Cell and atoms, written as extended XYZ:
```
12
Lattice="4.996 0.235 0.184 0.277 4.995 0.182 0.260 0.260 6.934" Properties=species:S:1:pos:R:3 pbc="T T T"
Sc 2.878 2.854 2.069
Sc 2.655 2.635 5.231
O 1.415 4.229 5.734
O 3.669 3.637 3.710
O 4.119 1.260 1.566
O 3.964 3.928 0.507
O 1.864 1.853 3.590
O 4.237 1.379 5.736
O 1.297 4.111 1.564
O 1.569 1.561 6.793
Tc 0.000 0.000 0.000
Ac 0.130 0.130 3.467
```

Total magnetization = 0.0 μB/cell
VASP energy = -8.113 eV/atom
Formation energy without anion corrections = -2547 meV/atom


Entry 2:
Material: LaEr12Tm3
Method: DFT, PBE
State: optimized geometry

Cell and atoms, written as extended XYZ:
```
16
Lattice="4.975 0.000 0.000 0.000 4.975 0.000 0.000 0.000 19.931" Properties=species:S:1:pos:R:3 pbc="T T T"
Er 2.487 2.487 5.046
Er 0.000 2.487 17.362
Er 2.487 2.487 9.966
Er 2.487 2.487 14.886
Er 0.000 2.487 2.570
Er 2.487 0.000 17.362
Er 0.000 2.487 12.434
Er 2.487 0.000 12.434
Er 2.487 2.487 0.000
Er 2.487 0.000 2.570
Er 2.487 0.000 7.497
Er 0.000 2.487 7.497
Tm 0.000 0.000 14.911
Tm 0.000 0.000 5.020
Tm 0.000 0.000 9.966
La 0.000 0.000 0.000
```

Total magnetization = 0.0 μB/cell
VASP energy = -4.540 eV/atom
Energy relative to the elements = 0.0284 eV/atom


Entry 3:
Material: Sm2ErGe
Method: DFT, PBE
State: optimized geometry

Cell and atoms, written as extended XYZ:
```
4
Lattice="-3.316 0.589 1.642 -0.946 -1.941 3.063 2.691 6.636 7.329" Properties=species:S:1:pos:R:3 pbc="T T T"
Sm -0.979 4.307 9.305
Sm -0.592 0.977 2.729
Er -0.786 2.642 6.017
Ge 0.000 0.000 0.000
```

Total magnetization = 0.0 μB/cell
VASP energy = -4.833 eV/atom
Excess energy over the best structure of this formula in the dataset = 150 meV/atom
Energy relative to the elements = -0.1787 eV/atom


Entry 4:
Material: TeI3O
Method: DFT, PBE
State: optimized geometry

Cell and atoms, written as extended XYZ:
```
5
Lattice="-0.288 4.461 2.574 -3.222 -2.167 3.395 4.018 -1.418 2.908" Properties=species:S:1:pos:R:3 pbc="T T T"
Te 0.254 0.437 4.439
I -0.144 2.230 1.287
I 2.009 -0.709 1.454
I -1.611 -1.084 1.698
O 0.000 0.000 0.000
```

Total magnetization = 0.0 μB/cell
VASP energy = -1.980 eV/atom
Excess energy over the best structure of this formula in the dataset = 0 meV/atom
Formation energy without anion corrections = 570 meV/atom


Entry 5:
Material: Ba4BeRe
Method: DFT, PBE
State: optimized geometry

Cell and atoms, written as extended XYZ:
```
6
Lattice="0.000 4.906 4.906 4.906 0.000 4.906 4.906 4.906 0.000" Properties=species:S:1:pos:R:3 pbc="T T T"
Re 0.000 0.000 0.000
Ba 3.675 3.675 3.675
Ba 6.136 6.136 3.675
Ba 3.675 6.136 6.136
Ba 6.136 3.675 6.136
Be 7.358 7.358 7.358
```

Total magnetization = 2.0 μB/cell
VASP energy = -2.357 eV/atom
Energy relative to the elements = 1.6204 eV/atom


Entry 6:
Material: ZrU2PaAs5
Method: DFT, PBE
State: optimized geometry

Cell and atoms, written as extended XYZ:
```
9
Lattice="-2.728 -4.236 0.651 2.454 -0.911 4.354 -7.268 5.488 5.244" Properties=species:S:1:pos:R:3 pbc="T T T"
As -0.137 -2.573 2.503
As -5.527 4.174 3.988
As -1.741 1.314 1.256
As -2.407 2.288 4.799
As -4.998 0.626 2.948
Zr 0.000 0.000 0.000
U -5.322 1.342 6.244
U -2.221 -1.000 4.006
Pa -3.634 2.744 2.622
```

Total magnetization = 5.9 μB/cell
VASP energy = -7.042 eV/atom
Energy relative to the elements = 0.0549 eV/atom


Look up the total magnetization of the fifth one.
2.0 μB/cell


Number 3 is which compound?
Sm2ErGe


The lowest VASP energy belongs to which entry?
AcSc2TcO8